# 1
# MnIrCl2 PBE-GGA relaxed
# * DOS(E_F): 3.572 states/eV/f.u.
# * VASP energy: -4.9510 eV per atom
# * energy above the lowest structure with this stoichiometry: 564 meV/atom
data_MnIrCl2
_chemical_formula_sum 'Mn2 Ir2 Cl4'
_space_group_name_H-M_alt 'C m m m'
_space_group_IT_number 65
_space_group_name_Hall '-C 2 2'
_cell_length_a 2.962
_cell_length_b 5.490
_cell_length_c 8.333
_cell_angle_alpha 90.00
_cell_angle_beta 90.00
_cell_angle_gamma 90.00
loop_
_atom_site_label
_atom_site_type_symbol
_atom_site_fract_x
_atom_site_fract_y
_atom_site_fract_z
Mn1 Mn 0.000 0.000 0.000
Ir1 Ir 0.000 0.000 0.500
Cl1 Cl 0.000 0.500 0.223

# 2
# MnIr3Cl PBE-GGA relaxed
# * DOS(E_F): 9.752 states/eV/f.u.
# * VASP energy: -5.8409 eV per atom
# * energy above the lowest structure with this stoichiometry: 240 meV/atom
data_MnIr3Cl
_chemical_formula_sum 'Mn1 Ir3 Cl1'
_space_group_name_H-M_alt 'P m -3 m'
_space_group_IT_number 221
_space_group_name_Hall '-P 4 2 3'
_cell_length_a 4.521
_cell_length_b 4.521
_cell_length_c 4.521
_cell_angle_alpha 90.00
_cell_angle_beta 90.00
_cell_angle_gamma 90.00
loop_
_atom_site_label
_atom_site_type_symbol
_atom_site_fract_x
_atom_site_fract_y
_atom_site_fract_z
Mn1 Mn 0.000 0.000 0.000
Ir1 Ir 0.000 0.000 0.500
Cl1 Cl 0.500 0.500 0.500

# 3
# MnIrCl2 PBE-GGA relaxed
# * DOS(E_F): 7.350 states/eV/f.u.
# * VASP energy: -4.2649 eV per atom
# * energy above the lowest structure with this stoichiometry: 1250 meV/atom
data_MnIrCl2
_chemical_formula_sum 'Mn4 Ir4 Cl8'
_space_group_name_H-M_alt 'F m -3 m'
_space_group_IT_number 225
_space_group_name_Hall '-F 4 2 3'
_cell_length_a 6.130
_cell_length_b 6.130
_cell_length_c 6.130
_cell_angle_alpha 90.00
_cell_angle_beta 90.00
_cell_angle_gamma 90.00
loop_
_atom_site_label
_atom_site_type_symbol
_atom_site_fract_x
_atom_site_fract_y
_atom_site_fract_z
Mn1 Mn 0.000 0.000 0.000
Ir1 Ir 0.000 0.000 0.500
Cl1 Cl 0.250 0.250 0.250